Entry 1:
Computed, not measured: a relaxed structure of CrPdO2 at the PBE with a Hubbard U level of DFT.

Cell: 2.929 5.673 6.453 Å, 90.00 90.00 90.00°
Fractional positions:
Cr 0.000 0.000 0.000
Cr 0.500 0.500 0.500
Pd 0.000 0.500 0.000
Pd 0.500 0.000 0.500
O 0.000 0.500 0.304
O 0.000 0.500 0.696
O 0.500 0.000 0.196
O 0.500 0.000 0.804

## Properties
- M_tot (μB per cell) = 5.064
- relative energy among the computed polymorphs (kJ/mol of formula units) = 169
- SG = Immm (71)
- VASP energy (eV per atom) = -6.56

***

Entry 2:
Computed, not measured: a relaxed structure of CrPdO2 at the PBE with a Hubbard U level of DFT.

Cell: 5.320 2.955 6.106 Å, 90.00 107.80 90.00°
Fractional positions:
Cr 0.000 0.000 0.000
Cr 0.500 0.500 0.000
Pd 0.000 0.000 0.500
Pd 0.500 0.500 0.500
O 0.111 0.500 0.822
O 0.389 0.000 0.178
O 0.611 0.000 0.822
O 0.889 0.500 0.178

## Properties
- M_tot (μB per cell) = 4.000
- relative energy among the computed polymorphs (kJ/mol of formula units) = 120
- SG = C2/m (12)
- VASP energy (eV per atom) = -6.69

***

> The lowest relative energy among the computed polymorphs belongs to which entry?

number 2

***

Please write out number 1 again, unchanged.
Computed, not measured: a relaxed structure of CrPdO2 at the PBE with a Hubbard U level of DFT.

Cell: 2.929 5.673 6.453 Å, 90.00 90.00 90.00°
Fractional positions:
Cr 0.000 0.000 0.000
Cr 0.500 0.500 0.500
Pd 0.000 0.500 0.000
Pd 0.500 0.000 0.500
O 0.000 0.500 0.304
O 0.000 0.500 0.696
O 0.500 0.000 0.196
O 0.500 0.000 0.804

## Properties
- M_tot (μB per cell) = 5.064
- relative energy among the computed polymorphs (kJ/mol of formula units) = 169
- SG = Immm (71)
- VASP energy (eV per atom) = -6.56

***

> What is the M_tot in the first record?

5.064 μB per cell

***

What did the second record say?
Computed, not measured: a relaxed structure of CrPdO2 at the PBE with a Hubbard U level of DFT.

Cell: 5.320 2.955 6.106 Å, 90.00 107.80 90.00°
Fractional positions:
Cr 0.000 0.000 0.000
Cr 0.500 0.500 0.000
Pd 0.000 0.000 0.500
Pd 0.500 0.500 0.500
O 0.111 0.500 0.822
O 0.389 0.000 0.178
O 0.611 0.000 0.822
O 0.889 0.500 0.178

## Properties
- M_tot (μB per cell) = 4.000
- relative energy among the computed polymorphs (kJ/mol of formula units) = 120
- SG = C2/m (12)
- VASP energy (eV per atom) = -6.69